[1]
4
Lattice="5.125 0.009 -0.010 4.104 3.070 -0.010 1.575 0.526 4.860" Properties=species:S:1:pos:R:3 comment="YCr2Au, relaxed, DFT PBE-GGA" dos_ef_per_ev_cell=4.4 polymorph_energy_mev_per_atom=276.2 total_energy_ev_per_atom=-6.930 pbc="T T T"
Au 2.701 0.901 1.210
Cr 5.335 1.780 1.845
Y 8.103 2.704 3.629
Cr 9.296 3.102 0.554

***

[2]
4
Lattice="5.180 -0.002 -0.006 -2.514 5.141 0.006 0.152 0.966 3.003" Properties=species:S:1:pos:R:3 comment="YCr2Au, relaxed, DFT PBE-GGA" dos_ef_per_ev_cell=4.0 polymorph_energy_mev_per_atom=407.5 total_energy_ev_per_atom=-6.799 pbc="T T T"
Cr 0.000 0.000 0.000
Au 1.333 2.570 0.000
Y -1.181 3.054 1.505
Cr 2.666 0.482 1.499

***

[3]
4
Lattice="-1.304 0.172 4.587 -2.874 -3.362 1.791 1.715 -3.206 3.090" Properties=species:S:1:pos:R:3 comment="YCr2Au, relaxed, DFT PBE-GGA" dos_ef_per_ev_cell=3.3 polymorph_energy_mev_per_atom=31.3 total_energy_ev_per_atom=-7.175 pbc="T T T"
Cr 0.000 0.000 0.000
Cr -0.616 -1.599 2.367
Au -1.231 -3.198 4.734
Y -1.847 -4.796 7.101

***

Listing ΔE_f for the structures above in their given order: 317, 448, 72 meV per atom.
Listing magnetic moment for the structures above in their given order: 0.00, 7.40, 0.69 μB per formula unit.